# 1
Material: AcThPb
Method: DFT, PBE-GGA
State: optimized geometry

The space group is No. 12.

Structure (POSCAR):
```
AcThPb
1.0
-6.320 -0.656 0.723
-4.645 -4.363 -0.538
-1.654 -3.397 7.786
Ac Pb Th
2 2 2
Direct
0.342 0.842 0.597
0.658 0.158 0.403
0.981 0.481 0.253
0.019 0.519 0.747
0.640 0.140 0.951
0.360 0.860 0.049
```



# 2
Material: AcThPb2
Method: DFT, PBE-GGA
State: optimized geometry

The space group is No. 13.

Structure (POSCAR):
```
AcThPb2
1.0
-2.833 -5.231 3.006
-2.556 -1.977 -5.850
11.538 -4.170 -3.633
Pb Ac Th
8 4 4
Direct
0.068 0.877 0.396
0.568 0.123 0.896
0.932 0.123 0.604
0.420 0.623 0.591
0.580 0.377 0.409
0.920 0.377 0.091
0.432 0.877 0.104
0.080 0.623 0.909
0.942 0.625 0.636
0.442 0.375 0.136
0.058 0.375 0.364
0.558 0.625 0.864
0.554 0.881 0.372
0.054 0.119 0.872
0.946 0.881 0.128
0.446 0.119 0.628
```



Energy of formation from the pure elements in kJ per mole of atoms, matching the order above: -20.3; -35.8